(1)
VASP calculation (PBE) on an optimized crystal structure of Dy8Ho6Sn.

Results
- Density: 8.457 g/cm3
- DFT formation energy: 329 kJ/mol of formula units
- Total moment: 0.0 μB/f.u.
- Fermi-level density of states: 20.1 states/eV/cell
- E_tot: -64.876 eV/cell

Cell: 12.409 12.409 3.546 Å, 90.00 90.00 120.00°
Fractional coordinates of all 15 atoms:
Ho: 0.109 0.636 0.498
Ho: 0.526 0.891 0.498
Ho: 0.364 0.474 0.498
Ho: 0.636 0.526 0.502
Ho: 0.891 0.364 0.502
Ho: 0.474 0.109 0.502
Dy: 0.788 0.094 0.000
Dy: 0.333 0.667 0.998
Dy: 0.094 0.306 0.000
Dy: 0.694 0.788 0.000
Dy: 0.306 0.212 0.000
Dy: 0.212 0.906 0.000
Dy: 0.667 0.333 0.002
Dy: 0.906 0.694 0.000
Sn: 0.000 0.000 0.500

(2)
VASP calculation (PBE) on an optimized crystal structure of DyHo4Sn2.

Results
- Density: 7.668 g/cm3
- DFT formation energy: 272 kJ/mol of formula units
- Total moment: 0.0 μB/f.u.
- Fermi-level density of states: 8.2 states/eV/cell
- E_tot: -28.097 eV/cell

Cell: 5.299 5.299 8.989 Å, 107.14 107.14 90.00°
Fractional coordinates of all 7 atoms:
Sn: 0.629 0.629 0.257
Sn: 0.371 0.371 0.743
Ho: 0.185 0.185 0.371
Ho: 0.000 0.500 0.000
Ho: 0.815 0.815 0.629
Ho: 0.500 0.000 0.000
Dy: 0.000 0.000 0.000

(3)
VASP calculation (PBE) on an optimized crystal structure of Dy3HoSn3.

Results
- Density: 8.640 g/cm3
- DFT formation energy: -342 kJ/mol of formula units
- Total moment: 0.0 μB/f.u.
- Fermi-level density of states: 11.8 states/eV/cell
- E_tot: -67.875 eV/cell

Cell: 5.421 9.087 9.087 Å, 120.00 90.00 90.00°
Fractional coordinates of all 14 atoms:
Dy: 0.750 0.760 0.766
Dy: 0.250 0.240 0.234
Dy: 0.750 0.234 0.994
Dy: 0.250 0.994 0.760
Dy: 0.750 0.006 0.240
Dy: 0.250 0.766 0.006
Sn: 0.250 0.378 0.923
Sn: 0.250 0.545 0.622
Sn: 0.250 0.077 0.455
Sn: 0.750 0.455 0.378
Sn: 0.750 0.923 0.545
Sn: 0.750 0.622 0.077
Ho: 0.750 0.333 0.667
Ho: 0.250 0.667 0.333

(4)
VASP calculation (PBE) on an optimized crystal structure of DyHo2Sn9.

Results
- Density: 8.270 g/cm3
- DFT formation energy: -475 kJ/mol of formula units
- Total moment: 0.0 μB/f.u.
- Fermi-level density of states: 5.0 states/eV/cell
- E_tot: -54.711 eV/cell

Cell: 4.788 4.788 13.669 Å, 90.00 90.00 90.00°
Fractional coordinates of all 12 atoms:
Dy: 0.000 0.000 0.000
Ho: 0.000 0.000 0.333
Ho: 0.000 0.000 0.667
Sn: 0.500 0.500 0.666
Sn: 0.500 0.500 0.334
Sn: 0.000 0.500 0.833
Sn: 0.500 0.000 0.500
Sn: 0.000 0.500 0.500
Sn: 0.500 0.500 0.000
Sn: 0.500 0.000 0.833
Sn: 0.500 0.000 0.167
Sn: 0.000 0.500 0.167

(5)
VASP calculation (PBE) on an optimized crystal structure of Dy4Ho3Sn4.

Results
- Density: 8.579 g/cm3
- DFT formation energy: -547 kJ/mol of formula units
- Total moment: 0.0 μB/f.u.
- Fermi-level density of states: 11.8 states/eV/cell
- E_tot: -53.818 eV/cell

Cell: 3.538 9.527 10.600 Å, 116.70 99.61 90.00°
Fractional coordinates of all 11 atoms:
Sn: 0.271 0.771 0.542
Sn: 0.500 0.220 0.000
Sn: 0.500 0.780 0.000
Sn: 0.729 0.229 0.458
Dy: 0.337 0.518 0.673
Dy: 0.663 0.845 0.327
Dy: 0.337 0.155 0.673
Dy: 0.663 0.482 0.327
Ho: 0.000 0.500 0.000
Ho: 0.093 0.093 0.186
Ho: 0.907 0.907 0.814

(6)
VASP calculation (PBE) on an optimized crystal structure of DyHo3Sn3.

Results
- Density: 8.737 g/cm3
- DFT formation energy: -346 kJ/mol of formula units
- Total moment: 0.0 μB/f.u.
- Fermi-level density of states: 12.5 states/eV/cell
- E_tot: -67.870 eV/cell

Cell: 5.413 9.065 9.065 Å, 120.00 90.00 90.00°
Fractional coordinates of all 14 atoms:
Ho: 0.750 0.761 0.994
Ho: 0.250 0.994 0.233
Ho: 0.750 0.233 0.239
Ho: 0.750 0.006 0.767
Ho: 0.250 0.239 0.006
Ho: 0.250 0.767 0.761
Sn: 0.250 0.546 0.924
Sn: 0.250 0.076 0.623
Sn: 0.750 0.623 0.546
Sn: 0.250 0.377 0.454
Sn: 0.750 0.924 0.377
Sn: 0.750 0.454 0.076
Dy: 0.750 0.333 0.667
Dy: 0.250 0.667 0.333

(7)
VASP calculation (PBE) on an optimized crystal structure of DyHo5Sn4.

Results
- Density: 7.988 g/cm3
- DFT formation energy: -378 kJ/mol of formula units
- Total moment: 0.4 μB/f.u.
- Fermi-level density of states: 10.8 states/eV/cell
- E_tot: -47.415 eV/cell

Cell: 4.438 7.901 9.120 Å, 101.20 104.08 90.00°
Site moments in Bohr magnetons follow the coordinates.
Fractional coordinates of all 10 atoms:
Ho: 0.861 0.274 0.721  0.04
Ho: 0.139 0.726 0.279  0.04
Ho: 0.500 0.500 0.000  -0.03
Ho: 0.794 0.690 0.587  0.10
Ho: 0.206 0.310 0.413  0.10
Sn: 0.036 0.275 0.072  0.00
Sn: 0.964 0.725 0.928  0.00
Sn: 0.312 0.986 0.624  0.00
Sn: 0.688 0.014 0.376  0.00
Dy: 0.500 0.000 0.000  0.00

(8)
VASP calculation (PBE) on an optimized crystal structure of Dy2HoSn2.

Results
- Density: 8.276 g/cm3
- DFT formation energy: -204 kJ/mol of formula units
- Total moment: 0.2 μB/f.u.
- Fermi-level density of states: 8.1 states/eV/cell
- E_tot: -47.801 eV/cell

Cell: 5.544 6.474 8.752 Å, 111.71 90.00 90.00°
Site moments in Bohr magnetons follow the coordinates.
Fractional coordinates of all 10 atoms:
Dy: 0.750 0.800 0.600  0.01
Dy: 0.250 0.575 0.150  0.02
Dy: 0.750 0.425 0.850  0.02
Dy: 0.250 0.200 0.400  0.01
Sn: 0.250 0.127 0.730  0.00
Sn: 0.750 0.398 0.270  0.00
Sn: 0.250 0.602 0.730  0.00
Sn: 0.750 0.873 0.270  0.00
Ho: 0.000 0.000 0.000  0.18
Ho: 0.500 0.000 0.000  0.18

Among the records above, which one has the highest DFT formation energy? Dy8Ho6Sn